A plane-wave DFT calculation with PBE was carried out for a relaxed structure of Sr3La3TmTe8.

Calculated total energy = -73.42 eV/cell
Formation energy from raw total energies = -1.599 eV/atom

abc: 9.164 9.164 9.347
angles: 119.35 90.00 120.00
Positions (direct):
Te 0.762 0.005 0.268
Te 0.243 0.005 0.268
Te 0.238 0.476 0.733
Te 0.748 0.497 0.745
Te 0.238 0.995 0.732
Te 0.762 0.524 0.267
Te 0.757 0.995 0.732
Te 0.252 0.503 0.255
Sr 0.000 0.500 0.000
Sr 0.000 0.000 0.000
Sr 0.500 0.500 0.000
Tm 0.000 0.000 0.500
La 0.500 0.000 0.500
La 0.500 0.500 0.500
La 0.000 0.500 0.500

=====

A plane-wave DFT calculation with PBE was carried out for a relaxed structure of LiLa4Pm5.

Calculated total energy = -45.05 eV/cell

abc: 3.717 3.717 24.608
angles: 90.00 90.00 90.00
Positions (direct):
La 0.000 0.000 0.395
La 0.000 0.000 0.817
La 0.000 0.000 0.183
La 0.000 0.000 0.605
Pm 0.500 0.500 0.289
Pm 0.500 0.500 0.500
Pm 0.500 0.500 0.711
Pm 0.500 0.500 0.080
Pm 0.500 0.500 0.920
Li 0.000 0.000 0.000

=====

A plane-wave DFT calculation with PBE was carried out for a relaxed structure of BaTaIn2.

Calculated total energy = -17.95 eV/cell
Polymorph energy (0 for the lowest one) = 162 meV per atom

abc: 8.218 8.218 8.218
angles: 157.36 145.24 41.89
Last column: magnetic moment on the atom in μB.
Positions (direct):
In 0.672 0.172 0.500  0.00
In 0.002 0.002 0.000  0.00
Ta 0.517 0.517 0.000  0.25
Ba 0.309 0.809 0.500  0.02

=====

A plane-wave DFT calculation with PBE was carried out for a relaxed structure of K2CdGePt.

Calculated total energy = -14.27 eV/cell

abc: 6.350 6.350 4.680
angles: 90.00 90.00 90.00
Positions (direct):
K 0.500 0.000 0.000
K 0.000 0.500 0.000
Ge 0.000 0.000 0.500
Cd 0.500 0.500 0.500
Pt 0.000 0.000 0.000

=====

A plane-wave DFT calculation with PBE was carried out for a relaxed structure of La6Ga2Sn.

Calculated total energy = -87.51 eV/cell
Polymorph energy (0 for the lowest one) = 0 meV per atom

abc: 9.105 9.105 9.105
angles: 105.60 110.50 112.39
Positions (direct):
La 0.460 0.278 0.182
La 0.292 0.618 0.326
La 0.799 0.759 0.558
La 0.096 0.278 0.818
La 0.799 0.241 0.040
La 0.540 0.722 0.818
La 0.201 0.241 0.442
La 0.708 0.382 0.674
La 0.708 0.034 0.326
La 0.292 0.966 0.674
La 0.904 0.722 0.182
La 0.201 0.759 0.960
Ga 0.365 0.000 0.365
Ga 0.500 0.619 0.119
Ga 0.635 0.000 0.635
Ga 0.500 0.381 0.881
Sn 0.000 0.000 0.000
Sn 0.000 0.500 0.500

=====

A plane-wave DFT calculation with PBE was carried out for a relaxed structure of NaCaSc3.

Calculated total energy = -18.13 eV/cell
Polymorph energy (0 for the lowest one) = 0 meV per atom

abc: 5.385 5.385 5.385
angles: 90.00 90.00 90.00
Last column: magnetic moment on the atom in μB.
Positions (direct):
Sc 0.500 0.000 0.000  0.31
Sc 0.000 0.000 0.500  0.47
Sc 0.000 0.500 0.000  0.37
Na 0.000 0.000 0.000  0.01
Ca 0.500 0.500 0.500  0.03

=====

Question: The highest calculated total energy belongs to which entry?
Answer: K2CdGePt

=====

Question: Which of these has the lowest calculated total energy?
Answer: La6Ga2Sn

=====

Question: Look up the calculated total energy of the sixth one.
Answer: -18.13 eV/cell

=====

Question: Which value of calculated total energy does entry 3 give?
Answer: -17.95 eV/cell